Rb3NbRu: PBEsol geometry, SCAN.

Geometry as extended XYZ:
```
5
Lattice="-0.5825 0.6810 -5.8666 -5.9057 -0.1285 0.5714 -0.0615 5.8941 0.6903" Properties=species:S:1:pos:R:3 pbc="T T T"
Rb -0.0307 2.9470 0.3451
Rb -0.2912 0.3405 -2.9333
Rb -2.9528 -0.0643 0.2857
Nb -3.2748 3.2233 -2.3025
Ru 0.0000 0.0000 0.0000
```

Values from the calculation:
Total energy in eV/atom: -24.26
Formation energy from the elements in eV/atom: 1.78


SrHgRu2: PBEsol geometry, SCAN.

Geometry as extended XYZ:
```
4
Lattice="3.0033 0.0000 0.0000 1.5017 2.6010 0.0000 1.5017 0.8670 9.4199" Properties=species:S:1:pos:R:3 pbc="T T T"
Ru 1.5017 0.8670 2.1994
Ru 4.5050 2.6010 7.2204
Hg 0.0000 0.0000 0.0000
Sr 3.0033 1.7340 4.7099
```

Values from the calculation:
Total energy in eV/atom: -39.04
Formation energy from the elements in eV/atom: 0.98


ScCdMo: PBEsol geometry, SCAN.

Geometry as extended XYZ:
```
3
Lattice="2.8468 0.0132 0.0000 -0.5318 2.7967 0.0000 -1.1575 -1.4049 6.8892" Properties=species:S:1:pos:R:3 pbc="T T T"
Cd 0.0000 0.0000 0.0709
Mo 1.1575 1.4049 2.3371
Sc 0.0000 0.0000 4.4812
```

Values from the calculation:
Total energy in eV/atom: -26.40
Formation energy from the elements in eV/atom: 0.12
Offset from the most stable computed form in meV per atom: 0


ZnFe6Re: PBEsol geometry, SCAN.

Geometry as extended XYZ:
```
32
Lattice="-1.0382 6.0419 -0.5432 -1.6677 -1.8815 5.6175 9.2963 1.9028 3.3971" Properties=species:S:1:pos:R:3 pbc="T T T"
Zn -1.5110 0.0904 4.0843
Zn 5.5979 3.5029 5.0772
Zn 0.9926 2.5603 3.3942
Zn -1.1948 4.0700 0.9900
Fe 5.4471 1.5233 6.6199
Fe -0.7814 4.3457 3.4462
Fe 0.5604 2.2825 0.9298
Fe 2.7552 0.7551 3.3030
Fe 5.7618 5.4853 3.5393
Fe 6.1883 5.7723 5.9931
Fe 1.5436 4.8391 4.3309
Fe 3.8353 5.3081 5.1683
Fe 0.0000 0.0000 0.0000
Fe 5.2041 3.2035 2.6014
Fe 3.2952 3.0316 4.2357
Fe -0.9397 2.3541 4.9947
Fe -1.3529 2.0802 2.5371
Fe 7.5301 3.7091 3.4767
Fe 4.6482 0.9514 1.6986
Fe 1.3864 2.8597 5.8700
Fe 0.4022 0.2909 2.4783
Fe 2.9124 2.7345 1.7640
Fe 5.0468 1.2241 4.1405
Fe 1.1434 4.5399 1.8515
Fe 3.6780 3.3287 6.7074
Fe 7.3719 1.7175 5.0252
Fe 6.0300 3.7807 7.5416
Fe 0.8286 0.5779 4.9321
Re 6.9363 1.4198 2.5347
Re 2.3600 0.4831 0.8624
Re 3.4544 5.0345 2.6783
Re 3.1361 1.0287 5.7931
```

Values from the calculation:
Total energy in eV/atom: -24.06
Formation energy from the elements in eV/atom: 0.12


LiHoGe: PBEsol geometry, SCAN.

Geometry as extended XYZ:
```
9
Lattice="-3.5970 0.6013 -2.0920 -0.7924 -6.8470 -0.6054 -2.6293 3.3164 5.4740" Properties=species:S:1:pos:R:3 pbc="T T T"
Ge -3.2032 -3.1586 0.3750
Ge 0.0000 0.0000 0.0000
Ge -3.8155 0.2292 2.4015
Ho -1.4613 -1.5078 2.0792
Ho -1.5064 1.9001 3.1362
Ho -0.4540 -3.9229 -0.3469
Li -4.4249 -2.4094 2.6909
Li -2.4096 1.0715 0.2263
Li -1.9827 -1.2908 -1.1867
```

Values from the calculation:
Total energy in eV/atom: -24.25
Formation energy from the elements in eV/atom: -0.76


LaBiSe2O: PBEsol geometry, SCAN.

Geometry as extended XYZ:
```
10
Lattice="-0.1906 -3.3552 2.3403 4.0181 -0.5932 -0.5232 2.7350 8.0943 11.8274" Properties=species:S:1:pos:R:3 pbc="T T T"
O 1.9137 -1.9742 0.9085
O 0.0000 0.0000 0.0000
Bi 1.6341 3.4404 8.6486
Bi 3.0147 2.6797 4.0874
La 0.1307 -1.0088 2.1473
La 4.5181 7.1290 10.5887
Se 2.1299 4.9078 10.7927
Se 1.0019 1.5696 5.9149
Se 2.5189 1.2124 1.9433
Se 3.6469 4.5506 6.8211
```

Values from the calculation:
Total energy in eV/atom: -35.50
Uncorrected formation energy in eV per atom: -1.8833